# 1
PBE-GGA AcTa3N6, relaxed; ΔE_f (raw) = -0.95 eV per atom; final energy = -9.913 eV per atom; space-group type = R-3m (166); magnetic moment = 0.00 μB per cell
1.0
5.004 2.889 5.187
-5.004 2.889 5.187
0.000 -5.778 5.187
Ac Ta N
2 6 12
Cartesian
0.000 0.000 0.000
0.000 0.000 7.781
-1.786 -2.683 5.187
-3.217 -0.206 5.187
1.786 -2.683 5.187
-1.431 2.889 5.187
3.217 -0.206 5.187
1.431 2.889 5.187
0.000 -3.111 4.553
-2.694 1.555 4.553
-1.927 -1.112 6.359
-2.694 -1.555 11.008
0.000 -2.225 9.203
-1.927 1.112 9.203
1.927 -1.112 6.359
0.000 2.225 6.359
2.694 1.555 4.553
1.927 1.112 9.203
2.694 -1.555 11.008
0.000 3.111 11.008

---

# 2
PBE-GGA Ac3TaN4, relaxed; ΔE_f (raw) = -1.12 eV per atom; final energy = -8.306 eV per atom; space-group type = Pmn2_1 (31); magnetic moment = 2.74 μB per cell
1.0
8.006 0.000 0.000
0.000 7.274 0.000
0.000 0.000 5.922
Ac Ta N
6 2 8
Cartesian
0.000 1.089 0.000
1.989 4.765 0.019
2.014 2.509 2.980
4.003 6.186 2.961
5.992 2.509 2.980
6.017 4.765 0.019
0.000 6.083 2.831
4.003 1.191 5.791
0.000 0.774 3.230
0.000 6.046 0.878
1.672 5.138 3.334
2.331 2.136 0.374
4.003 1.228 3.839
4.003 6.500 0.269
5.675 2.136 0.374
6.334 5.138 3.334

---

# 3
PBE-GGA Ac4TaN5, relaxed; ΔE_f (raw) = -1.07 eV per atom; final energy = -8.065 eV per atom; space-group type = I4 (79); magnetic moment = 0.00 μB per cell
1.0
-4.121 4.121 2.775
4.121 -4.121 2.775
4.121 4.121 -2.775
Ac Ta N
4 1 5
Cartesian
5.737 0.916 0.000
0.916 2.504 0.000
3.205 1.616 2.775
-1.616 3.205 2.775
0.000 0.000 2.439
0.000 0.000 0.521
3.418 2.076 -0.024
2.044 -0.702 2.752
2.076 4.823 -0.024
0.702 2.044 2.752

---

# 4
PBE-GGA Ac2Ta3N8, relaxed; polymorph energy (0 for the lowest one) = 0.0 meV per atom; ΔE_f (raw) = -0.84 eV per atom; final energy = -9.330 eV per atom; space-group type = C2/m (12); magnetic moment = 0.38 μB per cell
1.0
6.105 -3.255 0.000
6.105 3.255 0.000
-1.987 0.000 5.054
Ac Ta N
2 3 8
Cartesian
2.349 0.000 0.850
7.873 0.000 4.203
5.111 1.747 2.527
6.105 0.000 0.000
5.111 -1.747 2.527
0.337 0.000 2.393
4.621 1.363 0.543
5.601 1.363 4.511
3.756 0.000 2.993
6.466 0.000 2.061
4.621 -1.363 0.543
5.601 -1.363 4.511
9.885 0.000 2.660

---

# 5
PBE-GGA Ac2TaTc2N6, relaxed; ΔE_f (raw) = -0.64 eV per atom; final energy = -8.891 eV per atom; space-group type = R-3m (166); magnetic moment = 0.00 μB per cell
1.0
3.025 1.747 5.462
-3.025 1.747 5.462
0.000 -3.493 5.462
Ac Ta Tc N
2 1 2 6
Cartesian
0.000 0.000 3.575
0.000 0.000 12.811
0.000 0.000 0.000
0.000 0.000 7.075
0.000 0.000 9.311
0.000 -1.853 6.737
-1.604 0.926 6.737
-1.604 -0.926 9.649
1.604 0.926 6.737
1.604 -0.926 9.649
0.000 1.853 9.649

---

# 6
PBE-GGA Ac4Th3TaN8, relaxed; ΔE_f (raw) = -1.25 eV per atom; final energy = -8.571 eV per atom; space-group type = R-3m (166); magnetic moment = 0.00 μB per cell
1.0
3.643 2.103 6.161
-3.643 2.103 6.161
0.000 -4.207 6.161
Ac Th Ta N
4 3 1 8
Cartesian
0.000 0.000 0.000
-1.822 -1.052 6.161
-1.822 1.052 12.322
0.000 2.103 6.161
-3.643 0.000 9.241
-1.822 1.052 3.080
1.822 1.052 3.080
0.000 0.000 9.241
0.000 0.000 4.372
-1.628 -0.940 10.454
0.000 -1.880 8.028
-1.628 0.940 8.028
1.628 -0.940 10.454
0.000 1.880 10.454
1.628 0.940 8.028
0.000 0.000 14.110

---

# 7
PBE-GGA AcTh2TaN5, relaxed; ΔE_f (raw) = -1.22 eV per atom; final energy = -9.268 eV per atom; space-group type = P4/mbm (127); magnetic moment = 1.07 μB per cell
1.0
6.927 0.000 0.000
0.000 6.927 0.000
0.000 0.000 6.094
Ac Th Ta N
2 4 2 10
Cartesian
0.000 0.000 0.000
3.464 3.464 0.000
1.200 2.263 3.047
2.263 5.727 3.047
4.664 1.200 3.047
5.727 4.664 3.047
0.000 3.464 0.000
3.464 0.000 0.000
0.000 0.000 3.047
0.998 4.462 1.458
0.998 4.462 4.636
2.466 0.998 1.458
2.466 0.998 4.636
3.464 3.464 3.047
4.462 5.929 1.458
4.462 5.929 4.636
5.929 2.466 1.458
5.929 2.466 4.636

---

# 8
PBE-GGA Ac2UTaN6, relaxed; ΔE_f (raw) = -1.21 eV per atom; final energy = -9.345 eV per atom; space-group type = Pmmn (59); magnetic moment = 0.00 μB per cell
1.0
5.989 0.000 0.000
0.000 8.444 0.000
0.000 0.000 6.000
Ac U Ta N
4 2 2 12
Cartesian
1.497 0.000 1.431
1.497 4.222 1.431
4.492 8.444 4.570
4.492 4.222 4.570
1.497 2.111 4.506
4.492 6.333 1.494
1.497 6.333 4.446
4.492 2.111 1.554
0.019 6.333 3.045
0.026 6.333 5.997
1.497 4.261 4.599
1.497 8.406 4.599
2.969 6.333 5.997
2.976 6.333 3.045
3.014 2.111 2.956
3.021 2.111 0.003
4.492 0.039 1.402
4.492 4.184 1.402
5.963 2.111 0.003
5.970 2.111 2.956

---

Look up the final energy of the fourth one. -9.330 eV per atom

---

Which formula does entry 8 have? Ac2UTaN6

---

Which of these has the lowest final energy? AcTa3N6